(1)
# Pr2Hg3Bi3

A relaxed Pr2Hg3Bi3 crystal (PBE, the Alexandria database).

- final energy (eV per atom) = -3.23
- magnetization (μB per formula unit) = 0.00
- D(E_F) (states/eV/f.u.) = 3.4

Cell and atoms, written as POSCAR:
```
Pr2Hg3Bi3
1.0
4.711 0.000 0.000
0.000 5.067 0.000
0.000 0.000 9.623
Pr Hg Bi
2 3 3
Direct
0.000 0.000 0.245
0.000 0.000 0.755
0.000 0.500 0.000
0.500 0.500 0.235
0.500 0.500 0.765
0.000 0.500 0.500
0.500 0.000 0.000
0.500 0.000 0.500
```

=====

(2)
# PrHgBi2

A relaxed PrHgBi2 crystal (PBE, the Alexandria database).

- magnetization (μB per formula unit) = 0.00
- D(E_F) (states/eV/f.u.) = 1.3
- relative energy among the computed polymorphs (eV/atom) = 0.000

Cell and atoms, written as POSCAR:
```
PrHgBi2
1.0
4.875 0.000 0.000
0.000 4.875 0.000
0.000 0.000 4.984
Pr Hg Bi
1 1 2
Direct
0.000 0.000 0.000
0.500 0.500 0.000
0.000 0.500 0.500
0.500 0.000 0.500
```